The following is a GGA+U calculation of crystalline Ni3OF5 at its relaxed geometry, from Alexandria.

Properties
SG: P1
DFT total energy: -38.509 eV/f.u.

Lattice parameters (Å, degrees): 5.628 5.633 7.325 72.31 72.30 72.27
Fractional positions:
1 Ni 0.000 0.000 0.000
2 Ni 0.004 0.010 0.497
3 Ni 0.328 0.335 0.173
4 Ni 0.344 0.344 0.671
5 Ni 0.667 0.665 0.830
6 Ni 0.680 0.655 0.342
7 O 0.574 0.567 0.632
8 O 0.976 0.362 0.336
9 F 0.036 0.646 0.667
10 F 0.108 0.110 0.702
11 F 0.231 0.233 0.968
12 F 0.304 0.698 0.001
13 F 0.374 0.963 0.335
14 F 0.439 0.432 0.371
15 F 0.643 0.034 0.671
16 F 0.695 0.303 0.005
17 F 0.769 0.764 0.038
18 F 0.904 0.899 0.298